! PBE AcPuAlGa, optimized geometry; values from VASP
&SYSTEM
  ibrav = 0, nat = 4, ntyp = 4
/
ATOMIC_SPECIES
Al 26.98 Al.upf
Pu 244.00 Pu.upf
Ga 69.72 Ga.upf
Ac 227.00 Ac.upf
ATOMIC_POSITIONS crystal
Al 0.7500 0.7500 0.7500
Pu 0.0000 0.0000 0.0000
Ga 0.2500 0.2500 0.2500
Ac 0.5000 0.5000 0.5000
CELL_PARAMETERS angstrom
5.3480 0.0000 0.0000
2.6740 4.6315 0.0000
2.6740 1.5438 4.3666
! * crystal system: cubic
! * SG: F-43m
! * volume: 27.04 Å³/atom
! * N(E_F): 9.705 states/eV/cell
! * calculated formation energy: -171 meV per atom